[1]
VASP calculation (PBE) on crystalline ReAu4 at its relaxed geometry. Values from VASP.

The structure in Quantum ESPRESSO input format:
```
&SYSTEM
  ibrav = 0, nat = 5, ntyp = 2
/
ATOMIC_SPECIES
Re 186.21 Re.upf
Au 196.97 Au.upf
CELL_PARAMETERS angstrom
-0.502 0.863 4.909
-4.416 -2.365 -0.036
2.311 -4.331 0.997
ATOMIC_POSITIONS crystal
Re 0.500 0.500 0.500
Au 0.000 0.000 0.000
Au 0.500 0.000 0.500
Au 0.000 0.500 0.500
Au 0.500 0.500 0.000
```

Fermi-level density of states = 0.870 states/eV per atom
crystal system = cubic
ΔE_f = 1427.5 meV per atom

***

[2]
VASP calculation (PBE) on crystalline Re5Au at its relaxed geometry. Values from VASP.

The structure in Quantum ESPRESSO input format:
```
&SYSTEM
  ibrav = 0, nat = 6, ntyp = 2
/
ATOMIC_SPECIES
Re 186.21 Re.upf
Au 196.97 Au.upf
CELL_PARAMETERS angstrom
1.403 -7.302 0.000
1.403 7.302 0.000
0.000 0.000 4.475
ATOMIC_POSITIONS crystal
Re 0.223 0.777 0.500
Re 0.329 0.671 0.000
Re 0.560 0.440 0.500
Re 0.668 0.332 0.000
Re 0.885 0.115 0.500
Au 0.000 0.000 0.000
```

Fermi-level density of states = 0.889 states/eV per atom
crystal system = orthorhombic
ΔE_f = 168.0 meV per atom

***

[3]
VASP calculation (PBE) on crystalline ReAu2 at its relaxed geometry. Values from VASP.

The structure in Quantum ESPRESSO input format:
```
&SYSTEM
  ibrav = 0, nat = 12, ntyp = 2
/
ATOMIC_SPECIES
Re 186.21 Re.upf
Au 196.97 Au.upf
CELL_PARAMETERS angstrom
-2.401 5.720 1.170
-5.449 -1.741 -2.669
-2.096 -2.025 5.600
ATOMIC_POSITIONS crystal
Re 0.000 0.000 0.000
Re 0.000 0.500 0.500
Re 0.500 0.000 0.500
Re 0.500 0.500 0.000
Au 0.132 0.632 0.868
Au 0.132 0.868 0.368
Au 0.368 0.132 0.868
Au 0.368 0.368 0.368
Au 0.632 0.632 0.632
Au 0.632 0.868 0.132
Au 0.868 0.132 0.632
Au 0.868 0.368 0.132
```

Fermi-level density of states = 1.064 states/eV per atom
crystal system = cubic
ΔE_f = 1326.1 meV per atom